{
  "formula": "PtWO",
  "functional": "PBE+U",
  "state": "optimized geometry",
  "lattice_angstrom": [[7.090, 0.000, 0.000], [0.000, 1.986, 3.542], [0.000, -1.986, 3.542]],
  "species": ["Pt", "Pt", "W", "W", "O", "O"],
  "frac_coords": [[0.000, 0.000, 0.000], [0.500, 0.011, 0.011], [0.246, 0.274, 0.274], [0.754, 0.274, 0.274], [0.259, 0.782, 0.782], [0.741, 0.782, 0.782]],
  "rho_g_cm3": 13.1,
  "dos_at_fermi_per_ev_cell": 0.97,
  "total_energy_ev_per_atom": -6.252,
  "sg": "Amm2, No. 38",
  "vol_a3_per_cell": 99.7,
  "crystal_system": "orthorhombic"
}